(1)
Entry from the Alexandria database: a relaxed structure of ScCdRu2 (GGA-PBE).

Properties
formation enthalpy at 0 K: -0.021 eV/atom

a b c (Å): 4.153 4.153 3.862
angles (deg): 90.00 90.00 90.00
Fractional coordinates of all 4 atoms:
Sc: 0.000 0.000 0.000
Cd: 0.500 0.500 0.000
Ru: 0.000 0.500 0.500
Ru: 0.500 0.000 0.500

(2)
Entry from the Alexandria database: a relaxed structure of LaCePb3 (GGA-PBE).

Properties
formation enthalpy at 0 K: -0.250 eV/atom

a b c (Å): 7.703 7.703 6.458
angles (deg): 90.00 90.00 119.98
Fractional coordinates of all 10 atoms:
La: 0.166 0.834 0.750
La: 0.834 0.166 0.250
Ce: 0.500 0.500 0.000
Ce: 0.500 0.500 0.500
Pb: 0.097 0.298 0.750
Pb: 0.298 0.097 0.250
Pb: 0.298 0.702 0.250
Pb: 0.702 0.298 0.750
Pb: 0.702 0.903 0.750
Pb: 0.903 0.702 0.250

(3)
Entry from the Alexandria database: a relaxed structure of ZnInPb (GGA-PBE).

Properties
formation enthalpy at 0 K: 0.119 eV/atom
energy relative to the lowest polymorph listed for this composition: 4.2 kJ/mol of atoms

a b c (Å): 5.067 5.067 3.453
angles (deg): 90.00 90.00 120.00
Fractional coordinates of all 3 atoms:
Zn: 0.000 0.000 0.000
In: 0.667 0.333 0.005
Pb: 0.333 0.667 0.504

(4)
Entry from the Alexandria database: a relaxed structure of CsBa2Na16 (GGA-PBE).

Properties
formation enthalpy at 0 K: 0.025 eV/atom

a b c (Å): 9.425 9.425 9.425
angles (deg): 83.10 83.10 83.10
Fractional coordinates of all 19 atoms:
Cs: 0.000 0.000 0.000
Ba: 0.448 0.448 0.448
Ba: 0.739 0.739 0.739
Na: 0.104 0.426 0.793
Na: 0.104 0.793 0.426
Na: 0.121 0.121 0.582
Na: 0.121 0.582 0.121
Na: 0.215 0.215 0.215
Na: 0.285 0.746 0.746
Na: 0.426 0.104 0.793
Na: 0.426 0.793 0.104
Na: 0.451 0.451 0.949
Na: 0.451 0.949 0.451
Na: 0.582 0.121 0.121
Na: 0.746 0.285 0.746
Na: 0.746 0.746 0.285
Na: 0.793 0.104 0.426
Na: 0.793 0.426 0.104
Na: 0.949 0.451 0.451

(5)
Entry from the Alexandria database: a relaxed structure of AcDy4Ho4 (GGA-PBE).

Properties
formation enthalpy at 0 K: 0.054 eV/atom

a b c (Å): 6.807 8.715 10.738
angles (deg): 78.17 74.64 76.38
Fractional coordinates of all 18 atoms:
Ac: 0.247 0.028 0.285
Ac: 0.753 0.972 0.715
Dy: 0.251 0.026 0.950
Dy: 0.265 0.025 0.623
Dy: 0.415 0.336 0.710
Dy: 0.421 0.338 0.374
Dy: 0.579 0.662 0.626
Dy: 0.585 0.664 0.290
Dy: 0.735 0.975 0.377
Dy: 0.749 0.974 0.050
Ho: 0.110 0.657 0.204
Ho: 0.114 0.655 0.538
Ho: 0.117 0.660 0.873
Ho: 0.420 0.336 0.039
Ho: 0.580 0.664 0.961
Ho: 0.883 0.340 0.127
Ho: 0.886 0.345 0.462
Ho: 0.890 0.343 0.796

(6)
Entry from the Alexandria database: a relaxed structure of CuNiAgHg (GGA-PBE).

Properties
formation enthalpy at 0 K: 0.191 eV/atom

a b c (Å): 4.433 4.433 4.433
angles (deg): 60.00 60.00 60.00
Fractional coordinates of all 4 atoms:
Cu: 0.000 0.000 0.000
Ni: 0.500 0.500 0.500
Ag: 0.250 0.250 0.250
Hg: 0.750 0.750 0.750

(7)
Entry from the Alexandria database: a relaxed structure of Sc3Ga2Si (GGA-PBE).

Properties
formation energy without anion corrections: -0.599 eV per atom

a b c (Å): 11.176 3.859 11.020
angles (deg): 90.00 90.00 90.00
Fractional coordinates of all 24 atoms:
Sc: 0.056 0.250 0.121
Sc: 0.118 0.750 0.554
Sc: 0.220 0.250 0.786
Sc: 0.280 0.750 0.286
Sc: 0.382 0.250 0.054
Sc: 0.444 0.750 0.621
Sc: 0.556 0.250 0.379
Sc: 0.618 0.750 0.946
Sc: 0.720 0.250 0.714
Sc: 0.780 0.750 0.214
Sc: 0.882 0.250 0.446
Sc: 0.944 0.750 0.879
Ga: 0.007 0.750 0.304
Ga: 0.187 0.750 0.998
Ga: 0.313 0.250 0.498
Ga: 0.493 0.250 0.804
Ga: 0.507 0.750 0.196
Ga: 0.687 0.750 0.502
Ga: 0.813 0.250 0.002
Ga: 0.993 0.250 0.696
Si: 0.129 0.250 0.371
Si: 0.371 0.750 0.871
Si: 0.629 0.250 0.129
Si: 0.871 0.750 0.629

(8)
Entry from the Alexandria database: a relaxed structure of NaTm5Pb6 (GGA-PBE).

Properties
formation enthalpy at 0 K: -0.343 eV/atom

a b c (Å): 4.953 8.879 7.879
angles (deg): 90.00 108.16 90.00
Fractional coordinates of all 12 atoms:
Na: 0.000 0.000 0.000
Tm: 0.000 0.500 0.000
Tm: 0.336 0.500 0.673
Tm: 0.338 0.000 0.675
Tm: 0.662 0.000 0.325
Tm: 0.664 0.500 0.327
Pb: 0.169 0.250 0.337
Pb: 0.169 0.750 0.337
Pb: 0.500 0.249 0.000
Pb: 0.500 0.751 0.000
Pb: 0.831 0.250 0.663
Pb: 0.831 0.750 0.663

(9)
Entry from the Alexandria database: a relaxed structure of KBaH6Au2 (GGA-PBE).

Properties
raw total energy: -64.46 eV per cell

a b c (Å): 7.334 7.334 6.485
angles (deg): 99.51 99.51 105.63
Fractional coordinates of all 20 atoms:
K: 0.100 0.900 0.750
K: 0.900 0.100 0.250
Ba: 0.367 0.633 0.250
Ba: 0.633 0.367 0.750
H: 0.063 0.551 0.855
H: 0.085 0.829 0.258
H: 0.171 0.915 0.242
H: 0.267 0.342 0.498
H: 0.342 0.267 0.998
H: 0.449 0.937 0.645
H: 0.551 0.063 0.355
H: 0.658 0.733 0.002
H: 0.733 0.658 0.502
H: 0.829 0.085 0.758
H: 0.915 0.171 0.742
H: 0.937 0.449 0.145
Au: 0.177 0.460 0.681
Au: 0.460 0.177 0.181
Au: 0.540 0.823 0.819
Au: 0.823 0.540 0.319

(10)
Entry from the Alexandria database: a relaxed structure of ZnSbIr2 (GGA-PBE).

Properties
energy relative to the lowest polymorph listed for this composition: 9.7 kJ/mol of atoms
formation energy without anion corrections: 0.059 eV per atom

a b c (Å): 3.088 3.088 6.747
angles (deg): 90.00 90.00 90.00
Fractional coordinates of all 4 atoms:
Zn: 0.000 0.000 0.000
Sb: 0.000 0.000 0.500
Ir: 0.500 0.500 0.233
Ir: 0.500 0.500 0.767

(11)
Entry from the Alexandria database: a relaxed structure of TeIrS (GGA-PBE).

Properties
energy relative to the lowest polymorph listed for this composition: 5.5 kJ/mol of atoms
formation energy without anion corrections: -0.184 eV per atom

a b c (Å): 6.159 6.159 6.159
angles (deg): 90.00 90.00 90.00
Fractional coordinates of all 12 atoms:
Te: 0.137 0.363 0.637
Te: 0.363 0.637 0.137
Te: 0.637 0.137 0.363
Te: 0.863 0.863 0.863
Ir: 0.017 0.983 0.483
Ir: 0.483 0.017 0.983
Ir: 0.517 0.517 0.517
Ir: 0.983 0.483 0.017
S: 0.121 0.121 0.121
S: 0.379 0.879 0.621
S: 0.621 0.379 0.879
S: 0.879 0.621 0.379